Entry 1:
Here is crystalline CuReTe2I at its relaxed geometry from the Alexandria database. Energies are from GGA-PBE.

Lattice parameters (Å, degrees): 5.1143 5.1143 5.9073 90.00 90.00 90.00
Space group P4/mmm (No. 123)
One atom of each set of equivalent atoms:
Cu 0.0000 0.0000 0.0000
Re 0.5000 0.5000 0.5000
Te 0.0000 0.5000 0.5000
I 0.5000 0.5000 0.0000

Values from the calculation:
Relative energy among the computed polymorphs: 0.000 eV/atom
Magnetic moment: 0.000 μB per formula unit
D(E_F): 3.47 states/eV per cell

=====

Entry 2:
Here is crystalline K2MnW at its relaxed geometry from the Alexandria database. Energies are from GGA-PBE.

Lattice parameters (Å, degrees): 8.1743 8.1743 8.1743 90.00 90.00 90.00
Space group Fm-3m (No. 225)
One atom of each set of equivalent atoms:
K 0.2500 0.2500 0.2500
Mn 0.0000 0.0000 0.0000
W 0.0000 0.0000 0.5000

Values from the calculation:
Formation enthalpy at 0 K: 2.028 eV/atom
Relative energy among the computed polymorphs: 1.142 eV/atom
Magnetic moment: 0.236 μB per formula unit
D(E_F): 39.00 states/eV per cell

=====

Entry 3:
Here is crystalline Te2IrBr at its relaxed geometry from the Alexandria database. Energies are from GGA-PBE.

Lattice parameters (Å, degrees): 7.5074 9.4057 6.3651 90.00 90.00 90.00
Space group Pna2_1 (No. 33)
One atom of each set of equivalent atoms:
Te 0.0018 0.0810 0.0000
Te 0.2082 0.7232 0.1444
Ir 0.0319 0.1821 0.3887
Br 0.0228 0.4112 0.1723

Values from the calculation:
Relative energy among the computed polymorphs: 0.249 eV/atom
Magnetic moment: 0.000 μB per formula unit
D(E_F): 7.79 states/eV per cell

=====

Entry 4:
Here is crystalline TaSeBr2Cl at its relaxed geometry from the Alexandria database. Energies are from GGA-PBE.

Lattice parameters (Å, degrees): 5.1301 5.1301 4.9848 90.00 90.00 90.00
Space group P4/mmm (No. 123)
One atom of each set of equivalent atoms:
Ta 0.0000 0.0000 0.0000
Se 0.0000 0.0000 0.5000
Br 0.0000 0.5000 0.0000
Cl 0.5000 0.5000 0.5000

Values from the calculation:
Relative energy among the computed polymorphs: 0.000 eV/atom
Magnetic moment: 0.000 μB per formula unit
D(E_F): 4.69 states/eV per cell

=====

Entry 5:
Here is crystalline CaSi4Pd6 at its relaxed geometry from the Alexandria database. Energies are from GGA-PBE.

Lattice parameters (Å, degrees): 6.7844 6.7844 8.4036 90.00 90.00 90.00
Space group I-42m (No. 121)
One atom of each set of equivalent atoms:
Ca 0.0000 0.0000 0.0000
Si 0.2041 0.2041 0.3497
Pd 0.0000 0.5000 0.0000
Pd 0.1479 0.1479 0.6326

Values from the calculation:
Relative energy among the computed polymorphs: 0.211 eV/atom
Magnetic moment: 0.000 μB per formula unit
D(E_F): 6.02 states/eV per cell

=====

Entry 6:
Here is crystalline BeSiSe at its relaxed geometry from the Alexandria database. Energies are from GGA-PBE.

Lattice parameters (Å, degrees): 3.7656 3.7986 15.8072 90.00 90.00 90.00
Space group Imm2 (No. 44)
One atom of each set of equivalent atoms:
Be 0.0000 0.0000 0.0000
Be 0.0000 0.0000 0.3404
Si 0.0000 0.0000 0.6566
Si 0.0000 0.5000 0.0736
Se 0.0000 0.5000 0.4158
Se 0.0000 0.5000 0.7578

Values from the calculation:
Relative energy among the computed polymorphs: 0.165 eV/atom
Magnetic moment: 0.000 μB per formula unit
D(E_F): 1.15 states/eV per cell

=====

Entry 7:
Here is crystalline Be3SnOs at its relaxed geometry from the Alexandria database. Energies are from GGA-PBE.

Lattice parameters (Å, degrees): 4.3970 4.3970 4.3970 90.00 90.00 90.00
Space group Pm-3m (No. 221)
One atom of each set of equivalent atoms:
Be 0.0000 0.0000 0.5000
Sn 0.0000 0.0000 0.0000
Os 0.5000 0.5000 0.5000

Values from the calculation:
Formation enthalpy at 0 K: 1.889 eV/atom
Relative energy among the computed polymorphs: 1.338 eV/atom
Magnetic moment: 1.937 μB per formula unit
D(E_F): 4.75 states/eV per cell

=====

Entry 8:
Here is crystalline CuAgRh2 at its relaxed geometry from the Alexandria database. Energies are from GGA-PBE.

Lattice parameters (Å, degrees): 8.9722 2.7655 4.8392 90.00 100.47 90.00
Space group Cm (No. 8)
One atom of each set of equivalent atoms:
Cu 0.0000 0.0000 0.0000
Ag 0.2524 0.5000 0.2129
Rh 0.0112 0.5000 0.5287
Rh 0.2560 0.0000 0.7129

Values from the calculation:
Formation enthalpy at 0 K: 0.186 eV/atom
Relative energy among the computed polymorphs: 0.075 eV/atom
Magnetic moment: 0.002 μB per formula unit
D(E_F): 10.97 states/eV per cell

=====

Entry 9:
Here is crystalline BeCo4Ir at its relaxed geometry from the Alexandria database. Energies are from GGA-PBE.

Lattice parameters (Å, degrees): 6.5506 6.5506 6.5506 90.00 90.00 90.00
Space group F-43m (No. 216)
One atom of each set of equivalent atoms:
Be 0.0000 0.0000 0.0000
Co 0.1257 0.1257 0.6257
Ir 0.2500 0.2500 0.2500

Values from the calculation:
Formation enthalpy at 0 K: 0.174 eV/atom
Magnetic moment: 7.354 μB per formula unit
D(E_F): 25.42 states/eV per cell

=====

Entry 10:
Here is crystalline Nb2Fe2As at its relaxed geometry from the Alexandria database. Energies are from GGA-PBE.

Lattice parameters (Å, degrees): 6.9797 6.9797 3.0352 90.00 90.00 90.00
Space group P4/mbm (No. 127)
One atom of each set of equivalent atoms:
Nb 0.1656 0.3344 0.0000
Fe 0.1303 0.6303 0.5000
As 0.0000 0.0000 0.5000

Values from the calculation:
Formation enthalpy at 0 K: 0.028 eV/atom
Relative energy among the computed polymorphs: 0.000 eV/atom
Magnetic moment: 0.000 μB per formula unit
D(E_F): 7.19 states/eV per cell

=====

Entry 11:
Here is crystalline MoHI2 at its relaxed geometry from the Alexandria database. Energies are from GGA-PBE.

Lattice parameters (Å, degrees): 6.7256 6.7256 6.7256 90.00 90.00 90.00
Space group Fm-3m (No. 225)
One atom of each set of equivalent atoms:
Mo 0.0000 0.0000 0.0000
H 0.0000 0.0000 0.5000
I 0.2500 0.2500 0.2500

Values from the calculation:
Magnetic moment: 0.000 μB per formula unit
D(E_F): 9.04 states/eV per cell
DFT total energy: -0.1252 hartree per atom

=====

Entry 12:
Here is crystalline Ac2Ho at its relaxed geometry from the Alexandria database. Energies are from GGA-PBE.

Lattice parameters (Å, degrees): 3.8664 5.4001 11.4717 90.00 90.00 90.00
Space group Immm (No. 71)
One atom of each set of equivalent atoms:
Ac 0.0000 0.0000 0.1639
Ho 0.0000 0.0000 0.5000

Values from the calculation:
Formation enthalpy at 0 K: 0.057 eV/atom
Relative energy among the computed polymorphs: 0.000 eV/atom
Magnetic moment: 0.000 μB per formula unit
D(E_F): 7.38 states/eV per cell

=====

Entry 13:
Here is crystalline Cu3NiI8 at its relaxed geometry from the Alexandria database. Energies are from GGA-PBE.

Lattice parameters (Å, degrees): 7.9902 7.9902 19.4504 90.00 90.00 120.00
Space group R-3m (No. 166, hexagonal axes)
One atom of each set of equivalent atoms:
Cu 0.0000 0.5000 0.0000
Ni 0.0000 0.0000 0.5000
I 0.0000 0.0000 0.2547
I 0.0144 0.5072 0.2478

Values from the calculation:
Magnetic moment: 2.028 μB per formula unit
D(E_F): 46.28 states/eV per cell
DFT total energy: -0.0945 hartree per atom

=====

Entry 14:
Here is crystalline Cd2ReP at its relaxed geometry from the Alexandria database. Energies are from GGA-PBE.

Lattice parameters (Å, degrees): 14.7681 2.8240 3.8726 90.00 105.10 90.00
Space group C2/m (No. 12)
One atom of each set of equivalent atoms:
Cd 0.1830 0.0000 0.1824
Re 0.0000 0.5000 0.0000
P 0.0000 0.0000 0.5000

Values from the calculation:
Formation enthalpy at 0 K: 0.165 eV/atom
Magnetic moment: 0.000 μB per formula unit
D(E_F): 1.66 states/eV per cell

=====

Entry 15:
Here is crystalline Th2BeGe4Rh3 at its relaxed geometry from the Alexandria database. Energies are from GGA-PBE.

Lattice parameters (Å, degrees): 4.2381 4.2381 10.1463 90.00 90.00 90.00
Space group P-4m2 (No. 115)
One atom of each set of equivalent atoms:
Th 0.0000 0.5000 0.2487
Be 0.5000 0.5000 0.0000
Ge 0.0000 0.0000 0.5000
Ge 0.0000 0.5000 0.8711
Ge 0.5000 0.5000 0.5000
Rh 0.0000 0.0000 0.0000
Rh 0.0000 0.5000 0.6286

Values from the calculation:
Formation enthalpy at 0 K: -0.750 eV/atom
Magnetic moment: 0.000 μB per formula unit
D(E_F): 4.62 states/eV per cell

=====

Entry 16:
Here is crystalline CeNd4Ho5 at its relaxed geometry from the Alexandria database. Energies are from GGA-PBE.

Lattice parameters (Å, degrees): 15.2800 5.8316 9.8511 90.00 129.39 90.00
Space group C2/m (No. 12)
One atom of each set of equivalent atoms:
Ce 0.0000 0.0000 0.0000
Nd 0.2382 0.5000 0.4002
Nd 0.2470 0.0000 0.1676
Ho 0.0000 0.5000 0.5000
Ho 0.0708 0.0000 0.7253
Ho 0.0771 0.5000 0.9228

Values from the calculation:
Formation enthalpy at 0 K: 0.245 eV/atom
Relative energy among the computed polymorphs: 0.210 eV/atom
Magnetic moment: 1.151 μB per formula unit
D(E_F): 40.63 states/eV per cell

=====

Entry 17:
Here is crystalline KAu2 at its relaxed geometry from the Alexandria database. Energies are from GGA-PBE.

Lattice parameters (Å, degrees): 7.2790 7.2790 7.2790 90.00 90.00 90.00
Space group Fm-3m (No. 225)
One atom of each set of equivalent atoms:
K 0.0000 0.0000 0.0000
Au 0.2500 0.2500 0.2500

Values from the calculation:
Formation enthalpy at 0 K: 0.424 eV/atom
Magnetic moment: 0.000 μB per formula unit
D(E_F): 3.45 states/eV per cell

=====

Entry 18:
Here is crystalline Nd2ThRh9 at its relaxed geometry from the Alexandria database. Energies are from GGA-PBE.

Lattice parameters (Å, degrees): 5.3097 5.3097 26.7588 90.00 90.00 120.00
Space group R-3m (No. 166, hexagonal axes)
One atom of each set of equivalent atoms:
Nd 0.0000 0.0000 0.1397
Th 0.0000 0.0000 0.0000
Rh 0.0000 0.0000 0.3329
Rh 0.0000 0.0000 0.5000
Rh 0.0003 0.5001 0.0818

Values from the calculation:
Formation enthalpy at 0 K: -0.564 eV/atom
Magnetic moment: 0.000 μB per formula unit
D(E_F): 31.36 states/eV per cell

=====

Entry 19:
Here is crystalline Si3Pt2 at its relaxed geometry from the Alexandria database. Energies are from GGA-PBE.

Lattice parameters (Å, degrees): 11.9763 12.3161 4.2561 90.00 90.00 90.00
Space group Fdd2 (No. 43)
One atom of each set of equivalent atoms:
Si 0.0000 0.0000 0.0000
Si 0.0248 0.3851 0.0475
Pt 0.0878 0.2805 0.5672

Values from the calculation:
Magnetic moment: 0.000 μB per formula unit
D(E_F): 8.37 states/eV per cell
DFT total energy: -0.2194 hartree per atom

=====

Entry 20:
Here is crystalline NdHoHgPt at its relaxed geometry from the Alexandria database. Energies are from GGA-PBE.

Lattice parameters (Å, degrees): 7.3075 7.3075 7.3075 90.00 90.00 90.00
Space group F-43m (No. 216)
One atom of each set of equivalent atoms:
Nd 0.0000 0.0000 0.0000
Ho 0.0000 0.0000 0.5000
Hg 0.2500 0.2500 0.2500
Pt 0.2500 0.2500 0.7500

Values from the calculation:
Formation enthalpy at 0 K: -0.759 eV/atom
Magnetic moment: 0.000 μB per formula unit
D(E_F): 11.77 states/eV per cell